# 1
A plane-wave DFT calculation with PBE-GGA was carried out for a relaxed structure of Fe3BiRu.

Properties
space-group type = Pm-3m (221)
energy of formation = 1.136 eV/atom
total DFT energy (no corrections) = -6.573 eV per atom
energy relative to the lowest polymorph listed for this composition = 0.00 eV/f.u.
spin magnetization = 9.34 Bohr magnetons per cell

Lattice parameters (Å, degrees): 4.6343 4.6343 4.6343 90.00 90.00 90.00
Closest atoms and distances in Å follow each position.
Atoms (fractional coordinates):
Ru 0.0000 0.0000 0.0000  6 Fe 2.32
Bi 0.5000 0.5000 0.5000  12 Fe 3.28
Fe 0.0000 0.5000 0.0000  2 Ru 2.32
Fe 0.0000 0.0000 0.5000  2 Ru 2.32
Fe 0.5000 0.0000 0.0000  2 Ru 2.32


# 2
A plane-wave DFT calculation with PBE-GGA was carried out for a relaxed structure of FeBi2Ru.

Properties
space-group type = Fm-3m (225)
energy of formation = 0.669 eV/atom
total DFT energy (no corrections) = -5.706 eV per atom
energy relative to the lowest polymorph listed for this composition = 0.00 eV/f.u.
spin magnetization = 0.00 Bohr magnetons per cell

Lattice parameters (Å, degrees): 4.7568 4.7568 4.7568 60.00 60.00 60.00
Closest atoms and distances in Å follow each position.
Atoms (fractional coordinates):
Ru 0.5000 0.5000 0.5000  8 Bi 2.91
Bi 0.2500 0.2500 0.2500  4 Ru 2.91, 4 Fe 2.91
Bi 0.7500 0.7500 0.7500  4 Fe 2.91, 4 Ru 2.91
Fe 0.0000 0.0000 0.0000  8 Bi 2.91